Below is a geometry-optimized TmVSi2O8 structure, with properties calculated at the PBE+U level.

Final energy in eV per atom: -7.6854
Calculated volume in Å³/atom: 10.82

Structure (extended XYZ):
```
12
Lattice="5.539 0.051 0.000 -2.411 4.987 0.000 -1.564 -2.519 4.679" Properties=species:S:1:pos:R:3 pbc="T T T"
Tm 0.000 0.000 0.000
V -1.206 2.494 2.340
Si 2.770 0.025 2.340
Si 1.564 2.519 0.000
O 1.469 -0.523 1.524
O 0.243 2.132 0.918
O 0.239 -1.355 3.761
O 2.855 -1.383 3.155
O 2.885 2.906 0.918
O 4.070 0.574 1.524
O 2.684 1.434 3.155
O -0.239 1.355 3.761
```